Entry 1:
Entry from Alexandria: a relaxed Ca3Nd5 crystal (PBE).

Computed properties:
formation enthalpy at 0 K: 2.02 kcal/mol of atoms
V: 37.396 Å³ per atom
magnetic moment: 0.00 Bohr magnetons per cell
final energy: -3.643 eV per atom

Cell lengths 3.6475, 3.6475, 24.9963 Å; angles 90.00, 90.00, 115.89 degrees
Element x y z (fractional)
Nd1 0.0000 0.0000 0.6214
Nd2 0.0000 0.0000 0.3786
Nd3 0.5000 0.5000 0.2605
Nd4 0.5000 0.5000 0.5000
Nd5 0.5000 0.5000 0.7395
Ca1 0.0000 0.0000 0.8683
Ca2 0.0000 0.0000 0.1317
Ca3 0.5000 0.5000 0.0000

***

Entry 2:
Entry from Alexandria: a relaxed K2BeAl crystal (PBE).

Computed properties:
formation enthalpy at 0 K: 19.65 kcal/mol of atoms
V: 30.917 Å³ per atom
magnetic moment: 0.00 Bohr magnetons per cell
final energy: -1.564 eV per atom

Cell lengths 3.4126, 3.4126, 10.6203 Å; angles 90.00, 90.00, 90.82 degrees
Element x y z (fractional)
K1 0.0000 0.0000 0.5156
K2 0.0000 0.0000 0.9844
Be1 0.5000 0.5000 0.7500
Al1 0.5000 0.5000 0.2500

***

Entry 3:
Entry from Alexandria: a relaxed Ca2AlSi crystal (PBE).

Computed properties:
V: 26.470 Å³ per atom
magnetic moment: 0.00 Bohr magnetons per cell
final energy: -3.285 eV per atom
formation energy from raw total energies: 0.007 eV/atom

Cell lengths 9.6854, 9.6854, 9.6854 Å; angles 21.39, 21.39, 21.39 degrees
Element x y z (fractional)
Si1 0.2500 0.2500 0.2500
Al1 0.7500 0.7500 0.7500
Ca1 0.5073 0.5073 0.5073
Ca2 0.9927 0.9927 0.9927

***

Entry 4:
Entry from Alexandria: a relaxed MgCd2Pt9 crystal (PBE).

Computed properties:
formation enthalpy at 0 K: -7.48 kcal/mol of atoms
V: 16.182 Å³ per atom
magnetic moment: 0.00 Bohr magnetons per cell
final energy: -5.141 eV per atom

Cell lengths 4.0064, 4.0064, 12.0981 Å; angles 90.00, 90.00, 90.00 degrees
Element x y z (fractional)
Pt1 0.5000 0.5000 0.3299
Pt2 0.0000 0.5000 0.8393
Pt3 0.5000 0.5000 0.0000
Pt4 0.5000 0.0000 0.8393
Pt5 0.0000 0.5000 0.5000
Pt6 0.5000 0.0000 0.1607
Pt7 0.0000 0.5000 0.1607
Pt8 0.5000 0.0000 0.5000
Pt9 0.5000 0.5000 0.6701
Cd1 0.0000 0.0000 0.3313
Cd2 0.0000 0.0000 0.6687
Mg1 0.0000 0.0000 0.0000

***

Entry 5:
Entry from Alexandria: a relaxed CrRe2Ni2 crystal (PBE).

Computed properties:
formation enthalpy at 0 K: 7.51 kcal/mol of atoms
V: 12.983 Å³ per atom
magnetic moment: 2.93 Bohr magnetons per cell
final energy: -8.891 eV per atom

Cell lengths 6.1410, 6.1410, 3.4428 Å; angles 90.00, 90.00, 90.00 degrees
Element x y z (fractional)
Cr1 0.5000 0.5000 0.0000
Cr2 0.0000 0.0000 0.0000
Ni1 0.6321 0.1321 0.0000
Ni2 0.8679 0.6321 0.0000
Ni3 0.3679 0.8679 0.0000
Ni4 0.1321 0.3679 0.0000
Re1 0.3337 0.1663 0.5000
Re2 0.1663 0.6663 0.5000
Re3 0.6663 0.8337 0.5000
Re4 0.8337 0.3337 0.5000

***

Entry 6:
Entry from Alexandria: a relaxed AcEuCuOs crystal (PBE).

Computed properties:
formation enthalpy at 0 K: 3.11 kcal/mol of atoms
V: 23.883 Å³ per atom
magnetic moment: 6.85 Bohr magnetons per cell
final energy: -7.292 eV per atom

Cell lengths 5.1312, 5.1312, 5.1312 Å; angles 60.00, 60.00, 60.00 degrees
Element x y z (fractional)
Cu1 0.2500 0.2500 0.2500
Eu1 0.5000 0.5000 0.5000
Ac1 0.0000 0.0000 0.0000
Os1 0.7500 0.7500 0.7500

***

Entry 7:
Entry from Alexandria: a relaxed Er2HgBi crystal (PBE).

Computed properties:
formation enthalpy at 0 K: -13.36 kcal/mol of atoms
V: 28.636 Å³ per atom
magnetic moment: 0.00 Bohr magnetons per cell
final energy: -3.906 eV per atom

Cell lengths 4.6084, 4.1547, 12.1437 Å; angles 99.85, 90.00, 90.00 degrees
Element x y z (fractional)
Er1 0.7500 0.9377 0.8755
Er2 0.2500 0.0623 0.1245
Er3 0.2500 0.3239 0.6479
Er4 0.7500 0.6761 0.3521
Hg1 0.7500 0.5442 0.0884
Hg2 0.2500 0.4558 0.9116
Bi1 0.2500 0.1914 0.3828
Bi2 0.7500 0.8086 0.6172

***

Entry 8:
Entry from Alexandria: a relaxed MgCdGaSn crystal (PBE).

Computed properties:
formation enthalpy at 0 K: 0.25 kcal/mol of atoms
V: 23.183 Å³ per atom
magnetic moment: 0.00 Bohr magnetons per cell
final energy: -2.374 eV per atom

Cell lengths 5.0806, 5.0806, 5.0806 Å; angles 60.00, 60.00, 60.00 degrees
Element x y z (fractional)
Mg1 0.2500 0.2500 0.2500
Sn1 0.0000 0.0000 0.0000
Ga1 0.5000 0.5000 0.5000
Cd1 0.7500 0.7500 0.7500

***

Entry 9:
Entry from Alexandria: a relaxed Tl6Hg3SeS2 crystal (PBE).

Computed properties:
V: 33.810 Å³ per atom
magnetic moment: 0.00 Bohr magnetons per cell
final energy: -2.487 eV per atom
formation energy from raw total energies: -0.251 eV/atom

Cell lengths 7.5113, 7.5113, 8.6624 Å; angles 98.27, 98.27, 119.92 degrees
Element x y z (fractional)
Tl1 0.5897 0.9339 0.8014
Tl2 0.4103 0.0661 0.1986
Tl3 0.0661 0.4103 0.1986
Tl4 0.7197 0.7197 0.1951
Tl5 0.2803 0.2803 0.8049
Tl6 0.9339 0.5897 0.8014
Hg1 0.8425 0.1575 0.5000
Hg2 0.5000 0.5000 0.5000
Hg3 0.1575 0.8425 0.5000
S1 0.3321 0.6679 0.0000
S2 0.6679 0.3321 0.0000
Se1 0.0000 0.0000 0.0000

***

Entry 10:
Entry from Alexandria: a relaxed LiY2Ga12 crystal (PBE).

Computed properties:
formation enthalpy at 0 K: -7.11 kcal/mol of atoms
V: 19.046 Å³ per atom
magnetic moment: 0.00 Bohr magnetons per cell
final energy: -3.719 eV per atom

Cell lengths 6.1645, 6.1645, 15.0356 Å; angles 90.00, 90.00, 90.00 degrees
Element x y z (fractional)
Ga1 0.2506 0.2494 0.0872
Ga2 0.7506 0.7494 0.9128
Ga3 0.7494 0.7506 0.0872
Ga4 0.2494 0.7494 0.0872
Ga5 0.8339 0.3339 0.5708
Ga6 0.5000 0.5000 0.8180
Ga7 0.5000 0.5000 0.3443
Ga8 0.5000 0.5000 0.6557
Ga9 0.2494 0.2506 0.9128
Ga10 0.3339 0.1661 0.5708
Ga11 0.0000 0.0000 0.1820
Ga12 0.5000 0.5000 0.1820
Ga13 0.0000 0.0000 0.3443
Ga14 0.6661 0.8339 0.5708
Ga15 0.7494 0.2494 0.9128
Ga16 0.7506 0.2506 0.0872
Ga17 0.0000 0.0000 0.6557
Ga18 0.1661 0.6661 0.5708
Ga19 0.2506 0.7506 0.9128
Ga20 0.8339 0.6661 0.4292
Ga21 0.0000 0.0000 0.8180
Ga22 0.1661 0.3339 0.4292
Ga23 0.3339 0.8339 0.4292
Ga24 0.6661 0.1661 0.4292
Y1 0.5000 0.0000 0.2436
Y2 0.0000 0.5000 0.7564
Y3 0.5000 0.0000 0.7564
Y4 0.0000 0.5000 0.2436
Li1 0.5000 0.0000 0.0000
Li2 0.0000 0.5000 0.0000

***

Entry 11:
Entry from Alexandria: a relaxed Sr7Sn3O2 crystal (PBE).

Computed properties:
V: 28.971 Å³ per atom
magnetic moment: 0.00 Bohr magnetons per cell
final energy: -4.100 eV per atom
formation energy from raw total energies: -1.292 eV/atom

Cell lengths 5.0780, 5.2227, 13.3663 Å; angles 101.27, 90.00, 90.00 degrees
Element x y z (fractional)
Sr1 0.0000 0.6006 0.2011
Sr2 0.5000 0.9018 0.8036
Sr3 0.0000 0.2011 0.4022
Sr4 0.5000 0.0982 0.1964
Sr5 0.0000 0.3994 0.7989
Sr6 0.0000 0.0000 0.0000
Sr7 0.0000 0.7989 0.5978
O1 0.0000 0.0992 0.1984
O2 0.0000 0.9008 0.8016
Sn1 0.5000 0.6934 0.3868
Sn2 0.5000 0.3066 0.6132
Sn3 0.5000 0.5000 0.0000

***

Entry 12:
Entry from Alexandria: a relaxed SbTeMo2 crystal (PBE).

Computed properties:
V: 29.210 Å³ per atom
magnetic moment: 7.36 Bohr magnetons per cell
final energy: -6.239 eV per atom
formation energy from raw total energies: 0.992 eV/atom

Cell lengths 6.1657, 6.1657, 7.5361 Å; angles 65.85, 65.85, 90.00 degrees
Element x y z (fractional)
Te1 0.7500 0.2500 0.5000
Te2 0.0000 0.0000 0.0000
Mo1 0.8750 0.8764 0.7500
Mo2 0.6264 0.1250 0.2500
Mo3 0.3750 0.3736 0.7500
Mo4 0.1236 0.6250 0.2500
Sb1 0.5000 0.5000 0.0000
Sb2 0.2500 0.7500 0.5000

***

Entry 13:
Entry from Alexandria: a relaxed Ca2BiSe crystal (PBE).

Computed properties:
V: 31.181 Å³ per atom
magnetic moment: 0.00 Bohr magnetons per cell
final energy: -3.895 eV per atom
formation energy from raw total energies: -1.053 eV/atom

Cell lengths 8.1699, 8.1699, 6.8804 Å; angles 53.58, 53.58, 90.00 degrees
Element x y z (fractional)
Ca1 0.3750 0.4096 0.7500
Ca2 0.8750 0.8404 0.7500
Ca3 0.1596 0.6250 0.2500
Ca4 0.5904 0.1250 0.2500
Bi1 0.0000 0.0000 0.0000
Bi2 0.7500 0.2500 0.5000
Se1 0.2500 0.7500 0.5000
Se2 0.5000 0.5000 0.0000

***

Entry 14:
Entry from Alexandria: a relaxed Hg2Se crystal (PBE).

Computed properties:
V: 29.086 Å³ per atom
magnetic moment: 0.00 Bohr magnetons per cell
final energy: -1.288 eV per atom
formation energy from raw total energies: 0.075 eV/atom

Cell lengths 5.5234, 5.5234, 5.7205 Å; angles 90.00, 90.00, 90.00 degrees
Element x y z (fractional)
Se1 0.0000 0.5000 0.1896
Se2 0.5000 0.0000 0.8104
Hg1 0.0000 0.0000 0.0000
Hg2 0.5000 0.5000 0.0000
Hg3 0.0000 0.5000 0.6638
Hg4 0.5000 0.0000 0.3362

***

Entry 15:
Entry from Alexandria: a relaxed TiAlGa crystal (PBE).

Computed properties:
formation enthalpy at 0 K: -7.19 kcal/mol of atoms
V: 15.943 Å³ per atom
magnetic moment: 0.32 Bohr magnetons per cell
final energy: -5.200 eV per atom

Cell lengths 2.9360, 4.3371, 4.3371 Å; angles 120.00, 90.00, 90.00 degrees
Element x y z (fractional)
Ga1 0.4996 0.6667 0.3333
Ti1 0.0001 0.0000 0.0000
Al1 0.5003 0.3333 0.6667

***

Entry 16:
Entry from Alexandria: a relaxed HgTeIr crystal (PBE).

Computed properties:
V: 24.201 Å³ per atom
magnetic moment: 0.00 Bohr magnetons per cell
final energy: -3.942 eV per atom
formation energy from raw total energies: 0.159 eV/atom

Cell lengths 3.7348, 3.7348, 6.0101 Å; angles 90.00, 90.00, 120.00 degrees
Element x y z (fractional)
Ir1 0.6667 0.3333 0.3603
Hg1 0.0000 0.0000 0.0463
Te1 0.3333 0.6667 0.5934

***

Entry 17:
Entry from Alexandria: a relaxed NbSi2Mo2 crystal (PBE).

Computed properties:
V: 15.015 Å³ per atom
magnetic moment: 0.00 Bohr magnetons per cell
final energy: -8.888 eV per atom
formation energy from raw total energies: -0.372 eV/atom

Cell lengths 6.7767, 6.7767, 3.2696 Å; angles 90.00, 90.00, 90.00 degrees
Element x y z (fractional)
Mo1 0.8399 0.3399 0.5000
Mo2 0.3399 0.1601 0.5000
Mo3 0.1601 0.6601 0.5000
Mo4 0.6601 0.8399 0.5000
Si1 0.1328 0.3672 0.0000
Si2 0.3672 0.8672 0.0000
Si3 0.8672 0.6328 0.0000
Si4 0.6328 0.1328 0.0000
Nb1 0.0000 0.0000 0.0000
Nb2 0.5000 0.5000 0.0000

***

Entry 18:
Entry from Alexandria: a relaxed SmTl2IO6 crystal (PBE).

Computed properties:
V: 17.334 Å³ per atom
magnetic moment: 0.00 Bohr magnetons per cell
final energy: -5.307 eV per atom
formation energy from raw total energies: -1.232 eV/atom

Cell lengths 6.3049, 6.3049, 10.7082 Å; angles 72.88, 72.88, 60.00 degrees
Element x y z (fractional)
I1 0.0000 0.0000 0.0000
I2 0.5000 0.5000 0.5000
O1 0.1827 0.6003 0.6166
O2 0.3997 0.3997 0.3834
O3 0.8213 0.8213 0.1090
O4 0.1787 0.1787 0.8910
O5 0.2484 0.8213 0.1090
O6 0.6003 0.1827 0.6166
O7 0.7516 0.1787 0.8910
O8 0.8213 0.2484 0.1090
O9 0.8173 0.3997 0.3834
O10 0.3997 0.8173 0.3834
O11 0.6003 0.6003 0.6166
O12 0.1787 0.7516 0.8910
Tl1 0.1298 0.1298 0.6106
Tl2 0.7422 0.7422 0.7735
Tl3 0.2578 0.2578 0.2265
Tl4 0.8702 0.8702 0.3894
Sm1 0.3959 0.3959 0.8122
Sm2 0.6041 0.6041 0.1878